## Ho2V2Fe15 (PBE-GGA)

Data for Ho2V2Fe15 after structural relaxation.

abc: 6.3724 6.3724 6.3724
angles: 81.91 81.91 81.91
Atoms (fractional coordinates):
Ho  0.1547  0.1547  0.1547
Ho  0.8453  0.8453  0.8453
V  0.4041  0.4041  0.4041
V  0.5959  0.5959  0.5959
Fe  0.0000  0.5000  0.5000
Fe  0.1593  0.1593  0.6578
Fe  0.1593  0.6578  0.1593
Fe  0.1964  0.5000  0.8036
Fe  0.1964  0.8036  0.5000
Fe  0.3422  0.8407  0.8407
Fe  0.5000  0.0000  0.5000
Fe  0.5000  0.1964  0.8036
Fe  0.5000  0.5000  0.0000
Fe  0.5000  0.8036  0.1964
Fe  0.6578  0.1593  0.1593
Fe  0.8036  0.1964  0.5000
Fe  0.8036  0.5000  0.1964
Fe  0.8407  0.3422  0.8407
Fe  0.8407  0.8407  0.3422

- E_form: -56.5 meV per atom
- Density of states at the Fermi level: 1.1236 states/eV per atom